{
  "formula": "Dy2Tl3PbS6",
  "functional": "GGA-PBE",
  "state": "relaxed",
  "formation_energy_uncorrected_mev_per_atom": -1084,
  "sg": "C2/m (12)",
  "rho_g_cm3": 6.9,
  "magmom_total_mub_per_fu": 0.00,
  "dos_at_fermi_per_ev_cell": 7.99,
  "volume_a3_per_atom": 26.688,
  "cell": [[-0.923, -7.060, -0.501], [0.044, 3.157, 6.402], [-6.899, 2.243, -2.354]],
  "species": ["Dy", "Dy", "Tl", "Tl", "Tl", "Pb", "S", "S", "S", "S", "S", "S"],
  "frac_coords": [[0.332, 0.668, 0.000], [0.668, 0.332, 0.000], [0.165, 0.835, 0.500], [0.835, 0.165, 0.500], [0.500, 0.500, 0.500], [0.000, 0.000, 0.000], [0.931, 0.577, 0.790], [0.714, 0.714, 0.206], [0.069, 0.423, 0.210], [0.577, 0.931, 0.790], [0.286, 0.286, 0.794], [0.423, 0.069, 0.210]]
}